Entry 1:
This record from Alexandria via LeMat-Bulk describes crystalline Na5B7C3 at its relaxed geometry. The functional is PBE.

Geometry as POSCAR:
```
Na5B7C3
1.0
5.017 0.000 0.000
0.000 8.574 0.000
-2.506 0.000 7.267
Na B C
10 14 6
Cartesian
0.000 2.124 0.000
0.000 6.450 0.000
0.001 2.143 2.921
0.001 6.431 2.921
0.006 2.135 5.819
0.006 6.439 5.819
2.515 2.133 1.455
2.515 6.440 1.455
2.508 2.135 4.357
2.508 6.439 4.357
-1.686 0.000 5.801
-1.524 4.287 5.930
-0.904 4.287 4.380
-0.780 0.000 4.294
0.820 4.287 1.458
0.821 0.000 1.471
-0.733 0.000 7.267
0.980 4.287 4.260
1.727 0.000 2.978
3.338 4.287 0.087
1.607 4.287 5.804
1.619 0.000 5.804
3.335 4.287 2.832
4.126 0.000 1.467
1.646 4.287 0.078
0.835 0.000 4.365
1.648 4.287 2.841
3.332 0.000 0.002
3.344 0.000 2.908
4.156 4.287 1.459
```

Summary:
Relative energy among the computed polymorphs, meV/atom: 35
Space-group type: No. 6
Energy of formation from the pure elements, eV per atom: 0.15

Entry 2:
This record from Alexandria via LeMat-Bulk describes crystalline Ca2CuPd2 at its relaxed geometry. The functional is PBE.

Geometry as POSCAR:
```
Ca2CuPd2
1.0
8.255 0.000 0.000
0.000 8.255 0.000
0.000 0.000 3.238
Ca Cu Pd
4 2 4
Cartesian
1.391 2.737 0.000
2.737 6.864 0.000
5.518 1.391 0.000
6.864 5.518 0.000
0.000 0.000 0.000
4.127 4.127 0.000
1.052 5.180 1.619
3.075 1.052 1.619
5.180 7.202 1.619
7.202 3.075 1.619
```

Summary:
Space-group type: No. 127
Energy of formation from the pure elements, eV per atom: -0.16

Entry 3:
This record from Alexandria via LeMat-Bulk describes crystalline BaLi2Ca at its relaxed geometry. The functional is PBE.

Geometry as POSCAR:
```
BaLi2Ca
1.0
-1.976 3.028 6.039
1.976 -3.028 6.039
1.976 3.028 -6.039
Ba Li Ca
1 2 1
Cartesian
0.000 0.000 0.000
0.000 0.000 6.677
0.000 3.028 2.822
1.976 0.000 3.568
```

Summary:
Relative energy among the computed polymorphs, meV/atom: 30
Space-group type: No. 44
Energy of formation from the pure elements, eV per atom: 0.06

Entry 4:
This record from Alexandria via LeMat-Bulk describes crystalline Nd5Sm4Ga4 at its relaxed geometry. The functional is PBE.

Geometry as POSCAR:
```
Nd5Sm4Ga4
1.0
-6.028 6.028 2.568
6.028 -6.028 2.568
6.028 6.028 -2.568
Nd Sm Ga
5 4 4
Cartesian
0.000 0.000 0.000
7.355 3.786 0.000
3.786 4.701 0.000
2.242 1.327 2.568
-1.327 2.242 2.568
4.545 1.123 0.000
4.905 -1.484 2.568
1.123 7.512 0.000
1.484 4.905 2.568
9.241 1.347 0.000
1.347 2.816 0.000
4.681 3.212 2.568
-3.212 4.681 2.568
```

Summary:
Space-group type: No. 87
Energy of formation from the pure elements, eV per atom: -0.37

Entry 5:
This record from Alexandria via LeMat-Bulk describes crystalline Tb2Pm6Pr3Nd at its relaxed geometry. The functional is PBE.

Geometry as POSCAR:
```
Tb2Pm6Pr3Nd
1.0
3.166 -5.485 0.000
3.166 5.485 0.000
-2.122 0.000 11.940
Tb Pm Pr Nd
2 6 3 1
Cartesian
3.166 3.657 0.000
3.166 -3.657 0.000
-0.012 1.832 8.991
1.050 0.000 2.948
-0.012 -1.832 8.991
4.223 1.832 2.948
3.161 0.000 8.991
4.223 -1.832 2.948
-1.061 0.000 5.970
2.105 1.830 5.970
2.105 -1.830 5.970
3.166 0.000 0.000
```

Summary:
Space-group type: No. 12
Energy of formation from the pure elements, eV per atom: 0.01

Entry 6:
This record from Alexandria via LeMat-Bulk describes crystalline VCd2N3 at its relaxed geometry. The functional is PBE.

Geometry as POSCAR:
```
VCd2N3
1.0
2.926 -5.117 0.000
2.926 5.117 0.000
0.000 0.000 11.059
V Cd N
4 8 12
Cartesian
2.926 2.586 9.288
2.926 2.531 3.758
2.926 -2.531 7.300
2.926 -2.586 1.771
2.926 4.703 7.165
2.926 3.722 0.856
2.926 1.396 6.386
2.926 0.414 1.636
2.926 -0.414 9.423
2.926 -1.396 4.673
2.926 -3.722 10.203
2.926 -4.703 3.893
1.463 2.108 8.294
2.926 4.405 9.435
2.926 3.486 5.278
2.926 1.631 10.807
2.926 0.713 3.905
1.463 -2.108 2.765
4.388 2.108 8.294
2.926 -0.713 7.153
2.926 -1.631 0.252
2.926 -3.486 5.781
2.926 -4.405 1.624
4.388 -2.108 2.765
```

Summary:
Relative energy among the computed polymorphs, meV/atom: 148
Space-group type: No. 64
Raw formation energy, eV/atom: 0.02